Entry 1:
An optimized crystal structure of La3PmAl2, computed with PBE.

- Space group: Pmc2_1 (26)
- E_form: -0.259 eV/atom
- E: -57.1 eV for the cell shown

a = 5.330 Å, b = 9.959 Å, c = 6.821 Å
α = 90.00°, β = 90.00°, γ = 90.00°
Sites, in units of the cell vectors:
La 0.000 0.052 0.000
La 0.000 0.330 0.327
La 0.000 0.670 0.827
La 0.000 0.948 0.500
La 0.500 0.172 0.718
La 0.500 0.828 0.218
Pm 0.500 0.449 0.039
Pm 0.500 0.551 0.539
Al 0.000 0.354 0.812
Al 0.000 0.646 0.312
Al 0.500 0.151 0.232
Al 0.500 0.849 0.732

Entry 2:
An optimized crystal structure of LaPm4Al4, computed with PBE.

- Space group: P4_2/n (86)
- E_form: -0.142 eV/atom
- E: -80.4 eV for the cell shown

a = 8.898 Å, b = 8.898 Å, c = 6.078 Å
α = 90.00°, β = 90.00°, γ = 90.00°
Sites, in units of the cell vectors:
La 0.250 0.250 0.250
La 0.750 0.750 0.750
Pm 0.079 0.823 0.638
Pm 0.177 0.579 0.138
Pm 0.323 0.921 0.138
Pm 0.421 0.677 0.638
Pm 0.579 0.323 0.362
Pm 0.677 0.079 0.862
Pm 0.823 0.421 0.862
Pm 0.921 0.177 0.362
Al 0.056 0.157 0.838
Al 0.157 0.444 0.662
Al 0.343 0.056 0.662
Al 0.444 0.343 0.838
Al 0.556 0.657 0.162
Al 0.657 0.944 0.338
Al 0.843 0.556 0.338
Al 0.944 0.843 0.162

Entry 3:
An optimized crystal structure of La3PmAl4, computed with PBE.

- Space group: P4/mmm (123)
- E_form: -0.362 eV/atom
- E: -37.4 eV for the cell shown

a = 3.775 Å, b = 3.775 Å, c = 15.108 Å
α = 90.00°, β = 90.00°, γ = 90.00°
Sites, in units of the cell vectors:
La 0.000 0.000 0.000
La 0.000 0.000 0.253
La 0.000 0.000 0.747
Pm 0.000 0.000 0.500
Al 0.500 0.500 0.126
Al 0.500 0.500 0.383
Al 0.500 0.500 0.617
Al 0.500 0.500 0.874

Entry 4:
An optimized crystal structure of La4PmAl, computed with PBE.

- Space group: Cmcm (63)
- E_form: 0.197 eV/atom
- Distance to the lowest polymorph of the same formula: 296.2 meV/atom
- E: -54.0 eV for the cell shown

a = 6.656 Å, b = 6.656 Å, c = 11.229 Å
α = 90.00°, β = 90.00°, γ = 62.91°
Sites, in units of the cell vectors:
La 0.080 0.436 0.250
La 0.238 0.762 0.511
La 0.238 0.762 0.989
La 0.436 0.080 0.750
La 0.564 0.920 0.250
La 0.762 0.238 0.011
La 0.762 0.238 0.489
La 0.920 0.564 0.750
Pm 0.478 0.522 0.750
Pm 0.522 0.478 0.250
Al 0.036 0.964 0.250
Al 0.964 0.036 0.750

Entry 5:
An optimized crystal structure of LaPm12Al3, computed with PBE.

- Space group: P4/mmm (123)
- E_form: -0.109 eV/atom
- E: -74.9 eV for the cell shown

a = 4.905 Å, b = 4.905 Å, c = 20.183 Å
α = 90.00°, β = 90.00°, γ = 90.00°
Sites, in units of the cell vectors:
La 0.000 0.000 0.000
Pm 0.000 0.500 0.138
Pm 0.000 0.500 0.380
Pm 0.000 0.500 0.620
Pm 0.000 0.500 0.862
Pm 0.500 0.000 0.138
Pm 0.500 0.000 0.380
Pm 0.500 0.000 0.620
Pm 0.500 0.000 0.862
Pm 0.500 0.500 0.000
Pm 0.500 0.500 0.261
Pm 0.500 0.500 0.500
Pm 0.500 0.500 0.739
Al 0.000 0.000 0.259
Al 0.000 0.000 0.500
Al 0.000 0.000 0.741

Entry 6:
An optimized crystal structure of La2Pm8Al, computed with PBE.

- Space group: C2/m (12)
- E_form: -0.011 eV/atom
- E: -51.7 eV for the cell shown

a = 9.925 Å, b = 9.925 Å, c = 7.115 Å
α = 95.26°, β = 95.26°, γ = 31.78°
Sites, in units of the cell vectors:
La 0.220 0.220 0.153
La 0.780 0.780 0.847
Pm 0.034 0.034 0.256
Pm 0.158 0.158 0.676
Pm 0.345 0.345 0.596
Pm 0.412 0.412 0.085
Pm 0.588 0.588 0.915
Pm 0.655 0.655 0.404
Pm 0.842 0.842 0.324
Pm 0.966 0.966 0.744
Al 0.500 0.500 0.500

Entry 7:
An optimized crystal structure of La14PmAl, computed with PBE.

- Space group: Amm2 (38)
- E_form: -0.030 eV/atom
- E: -78.0 eV for the cell shown

a = 10.327 Å, b = 7.321 Å, c = 7.321 Å
α = 90.00°, β = 90.00°, γ = 90.00°
Sites, in units of the cell vectors:
La 0.000 0.000 0.000
La 0.000 0.000 0.499
La 0.000 0.499 0.000
La 0.000 0.500 0.500
La 0.259 0.738 0.738
La 0.260 0.262 0.738
La 0.260 0.738 0.262
La 0.261 0.261 0.261
La 0.500 0.501 0.999
La 0.500 0.999 0.501
La 0.739 0.261 0.261
La 0.740 0.262 0.738
La 0.740 0.738 0.262
La 0.741 0.738 0.738
Pm 0.500 0.000 0.000
Al 0.500 0.500 0.500

Entry 8:
An optimized crystal structure of LaPm2Al2, computed with PBE.

- Space group: Cmmm (65)
- E_form: -0.261 eV/atom
- Distance to the lowest polymorph of the same formula: 0.0 meV/atom
- E: -46.4 eV for the cell shown

a = 4.559 Å, b = 16.762 Å, c = 3.645 Å
α = 90.00°, β = 90.00°, γ = 90.00°
Sites, in units of the cell vectors:
La 0.000 0.000 0.000
La 0.500 0.500 0.000
Pm 0.000 0.368 0.500
Pm 0.000 0.632 0.500
Pm 0.500 0.132 0.500
Pm 0.500 0.868 0.500
Al 0.000 0.205 0.000
Al 0.000 0.795 0.000
Al 0.500 0.295 0.000
Al 0.500 0.705 0.000

Number 1 is which compound? La3PmAl2

Look up the E of the second one. -80.4 eV for the cell shown

Which of these has the lowest E_form? La3PmAl4